This record from Alexandria via LeMat-Bulk describes crystalline AcEr5Mg4 at its relaxed geometry. The functional is PBE-GGA.

abc: 3.7789 3.7789 20.1928
angles: 90.00 90.00 90.00
With the nearest neighbours (Å) after each atom.
Fractional coordinates of all 10 atoms:
Ac: 0.0000 0.0000 0.0000  8 Er 3.74, 4 Ac 3.78
Er: 0.5000 0.5000 0.1299  4 Mg 3.27
Er: 0.5000 0.5000 0.3149  8 Mg 3.25-3.26
Er: 0.5000 0.5000 0.5000  8 Mg 3.26
Er: 0.5000 0.5000 0.6851  8 Mg 3.25-3.26
Er: 0.5000 0.5000 0.8701  4 Mg 3.27
Mg: 0.0000 0.0000 0.2231  8 Er 3.25-3.27
Mg: 0.0000 0.0000 0.4072  8 Er 3.26
Mg: 0.0000 0.0000 0.5928  8 Er 3.26
Mg: 0.0000 0.0000 0.7769  8 Er 3.25-3.27

- Space group: P4/mmm
- DFT formation energy: -37 meV per atom
- Fermi-level density of states: 14.44 states/eV/cell

---

This record from Alexandria via LeMat-Bulk describes crystalline La3Dy2Y6Sc at its relaxed geometry. The functional is PBE-GGA.

abc: 6.2157 6.2157 11.8521
angles: 95.02 95.02 120.01
With the nearest neighbours (Å) after each atom.
Fractional coordinates of all 12 atoms:
La: 0.0000 0.0000 0.0000  6 La 3.59, 6 Y 3.65-3.66
La: 0.3334 0.6666 0.0000  6 La 3.59, 6 Y 3.65-3.67
La: 0.6666 0.3334 0.0000  6 La 3.59, 6 Y 3.65-3.67
Dy: 0.1664 0.8336 0.5000  6 Y 3.51, 3 Dy 3.58-3.59, 3 Sc 3.59
Dy: 0.8336 0.1664 0.5000  6 Y 3.51, 3 Dy 3.58-3.59, 3 Sc 3.59
Y: 0.0894 0.4200 0.2580  1 Sc 3.49, 2 Dy 3.51, 6 Y 3.56-3.60, 3 La 3.65-3.67
Y: 0.2494 0.2494 0.7421  1 Sc 3.50, 2 Dy 3.51, 6 Y 3.56-3.60, 3 La 3.65-3.66
Y: 0.4200 0.0894 0.2580  1 Sc 3.49, 2 Dy 3.51, 6 Y 3.56-3.60, 3 La 3.65-3.67
Y: 0.5800 0.9106 0.7420  1 Sc 3.49, 2 Dy 3.51, 6 Y 3.56-3.60, 3 La 3.65-3.67
Y: 0.7506 0.7506 0.2579  1 Sc 3.50, 2 Dy 3.51, 6 Y 3.56-3.60, 3 La 3.65-3.66
Y: 0.9106 0.5800 0.7420  1 Sc 3.49, 2 Dy 3.51, 6 Y 3.56-3.60, 3 La 3.65-3.67
Sc: 0.5000 0.5000 0.5000  6 Y 3.49-3.50, 6 Dy 3.59

- Space group: C2/m
- DFT formation energy: 34 meV per atom
- Fermi-level density of states: 18.05 states/eV/cell

---

This record from Alexandria via LeMat-Bulk describes crystalline La2NiAu at its relaxed geometry. The functional is PBE-GGA.

abc: 7.6580 7.6580 7.6580
angles: 31.76 31.76 31.76
With the nearest neighbours (Å) after each atom.
Fractional coordinates of all 4 atoms:
La: 0.0000 0.0000 0.0000  3 Ni 2.92, 3 Au 3.18
La: 0.1874 0.1874 0.1874  3 Ni 2.87, 3 Au 3.16
Ni: 0.5918 0.5918 0.5918  6 La 2.87-2.92
Au: 0.4277 0.4277 0.4277  6 La 3.16-3.18

- Space group: R3m
- DFT formation energy: -491 meV per atom
- Fermi-level density of states: 2.88 states/eV/cell

---

This record from Alexandria via LeMat-Bulk describes crystalline PmHo2ErN4 at its relaxed geometry. The functional is PBE-GGA.

abc: 6.0398 3.4878 6.0404
angles: 90.00 109.43 90.00
With the nearest neighbours (Å) after each atom.
Fractional coordinates of all 8 atoms:
Pm: 0.0000 0.0000 0.0000  6 N 2.50
Ho: 0.5000 0.0000 0.5000  6 N 2.43
Ho: 0.5000 0.5000 0.0000  6 N 2.47
Er: 0.0000 0.5000 0.5000  6 N 2.46
N: 0.2525 0.0000 0.7458  3 Ho 2.43-2.47, 2 Er 2.46, 1 Pm 2.50
N: 0.2564 0.5000 0.2573  3 Ho 2.43-2.47, 1 Er 2.46, 2 Pm 2.50
N: 0.7436 0.5000 0.7427  3 Ho 2.43-2.47, 1 Er 2.46, 2 Pm 2.50
N: 0.7475 0.0000 0.2542  3 Ho 2.43-2.47, 2 Er 2.46, 1 Pm 2.50

- ΔE_f (raw): -1.66 eV per atom
- Space group: P2/m
- Fermi-level density of states: 0.23 states/eV/cell

---

This record from Alexandria via LeMat-Bulk describes crystalline CsNaCd2 at its relaxed geometry. The functional is PBE-GGA.

abc: 5.8063 5.8063 4.8565
angles: 90.00 90.00 90.00
With the nearest neighbours (Å) after each atom.
Fractional coordinates of all 4 atoms:
Cs: 0.0000 0.0000 0.0000  8 Cd 3.78, 4 Na 4.11
Na: 0.5000 0.5000 0.0000  8 Cd 3.78, 4 Cs 4.11
Cd: 0.0000 0.5000 0.5000  4 Na 3.78, 4 Cs 3.78, 4 Cd 4.11
Cd: 0.5000 0.0000 0.5000  4 Na 3.78, 4 Cs 3.78, 4 Cd 4.11

- Excess energy over the best structure of this formula in the dataset: 152.5 meV/atom
- Space group: P4/mmm
- DFT formation energy: 84 meV per atom
- Fermi-level density of states: 2.87 states/eV/cell

---

This record from Alexandria via LeMat-Bulk describes crystalline PtBrCl at its relaxed geometry. The functional is PBE-GGA.

abc: 7.9758 6.9943 4.5779
angles: 84.39 60.78 34.84
With the nearest neighbours (Å) after each atom.
Fractional coordinates of all 3 atoms:
Pt: 0.0000 0.0000 0.0000  2 Cl 2.35, 2 Br 2.43
Br: 0.6235 0.6235 0.3765  2 Pt 2.43
Cl: 0.3860 0.3860 0.6140  2 Pt 2.35

- ΔE_f (raw): -0.24 eV per atom
- Space group: Fmm2

---

This record from Alexandria via LeMat-Bulk describes crystalline TlB6N6 at its relaxed geometry. The functional is PBE-GGA.

abc: 4.6852 4.6852 4.6852
angles: 90.00 90.00 90.00
With the nearest neighbours (Å) after each atom.
Fractional coordinates of all 13 atoms:
Tl: 0.0000 0.0000 0.0000  12 B 2.63, 12 N 2.63
B: 0.0000 0.2547 0.5000  4 N 1.62-1.69
B: 0.0000 0.7453 0.5000  4 N 1.62-1.69
B: 0.2547 0.5000 0.0000  4 N 1.62-1.69
B: 0.5000 0.0000 0.2547  4 N 1.62-1.69
B: 0.5000 0.0000 0.7453  4 N 1.62-1.69
B: 0.7453 0.5000 0.0000  4 N 1.62-1.69
N: 0.0000 0.5000 0.2559  4 B 1.62-1.69
N: 0.0000 0.5000 0.7441  4 B 1.62-1.69
N: 0.2559 0.0000 0.5000  4 B 1.62-1.69
N: 0.5000 0.2559 0.0000  4 B 1.62-1.69
N: 0.5000 0.7441 0.0000  4 B 1.62-1.69
N: 0.7441 0.0000 0.5000  4 B 1.62-1.69

- ΔE_f (raw): -0.09 eV per atom
- Space group: Pm-3
- Fermi-level density of states: 1.91 states/eV/cell

---

This record from Alexandria via LeMat-Bulk describes crystalline NbVCr2 at its relaxed geometry. The functional is PBE-GGA.

abc: 3.0136 3.0136 6.0317
angles: 90.00 90.00 90.00
With the nearest neighbours (Å) after each atom.
Fractional coordinates of all 4 atoms:
Nb: 0.0000 0.0000 0.0000  8 Cr 2.66
V: 0.0000 0.0000 0.5000  8 Cr 2.56
Cr: 0.5000 0.5000 0.2634  4 V 2.56, 4 Nb 2.66, 1 Cr 2.85
Cr: 0.5000 0.5000 0.7366  4 V 2.56, 4 Nb 2.66, 1 Cr 2.85

- Excess energy over the best structure of this formula in the dataset: 2.6 meV/atom
- Space group: P4/mmm
- DFT formation energy: 8 meV per atom
- Fermi-level density of states: 4.07 states/eV/cell

---

This record from Alexandria via LeMat-Bulk describes crystalline Th6TeIr2Pt3 at its relaxed geometry. The functional is PBE-GGA.

abc: 9.4199 9.4199 8.6574
angles: 101.66 101.66 25.54
With the nearest neighbours (Å) after each atom.
Fractional coordinates of all 12 atoms:
Th: 0.0145 0.0145 0.2780  1 Ir 2.82, 3 Pt 2.88-3.14, 2 Te 3.15
Th: 0.3206 0.3206 0.8952  3 Pt 2.91-3.07, 2 Ir 2.93, 1 Te 3.23
Th: 0.3331 0.3331 0.4163  3 Ir 2.91-2.99, 3 Pt 3.00-3.06
Th: 0.6669 0.6669 0.5837  3 Ir 2.91-2.99, 3 Pt 3.00-3.06
Th: 0.6794 0.6794 0.1048  3 Pt 2.91-3.07, 2 Ir 2.93, 1 Te 3.23
Th: 0.9855 0.9855 0.7220  1 Ir 2.82, 3 Pt 2.88-3.14, 2 Te 3.15
Te: 0.5000 0.5000 0.0000  6 Th 3.15-3.23
Ir: 0.1714 0.1714 0.3385  6 Th 2.82-2.99
Ir: 0.8286 0.8286 0.6615  6 Th 2.82-2.99
Pt: 0.1590 0.1590 0.8387  6 Th 2.91-3.14
Pt: 0.5000 0.5000 0.5000  6 Th 2.88-3.00
Pt: 0.8410 0.8410 0.1613  6 Th 2.91-3.14

- ΔE_f (raw): -1.06 eV per atom
- Space group: C2/m
- Fermi-level density of states: 10.81 states/eV/cell

---

This record from Alexandria via LeMat-Bulk describes crystalline MnGaIr at its relaxed geometry. The functional is PBE-GGA.

abc: 4.1087 4.1087 4.1087
angles: 60.00 60.00 60.00
With the nearest neighbours (Å) after each atom.
Fractional coordinates of all 3 atoms:
Mn: 0.0000 0.0000 0.0000  4 Ga 2.52
Ga: 0.7500 0.7500 0.7500  4 Mn 2.52, 4 Ir 2.52
Ir: 0.5000 0.5000 0.5000  4 Ga 2.52

- Space group: F-43m
- DFT formation energy: 70 meV per atom
- Fermi-level density of states: 3.23 states/eV/cell

---

This record from Alexandria via LeMat-Bulk describes crystalline K2NpRh3O12 at its relaxed geometry. The functional is PBE-GGA.

abc: 7.4877 7.4877 7.4877
angles: 57.29 57.29 57.29
With the nearest neighbours (Å) after each atom.
Fractional coordinates of all 18 atoms:
K: 0.1085 0.1085 0.1085  3 O 2.99
K: 0.8915 0.8915 0.8915  3 O 2.99
Np: 0.5000 0.5000 0.5000  6 O 2.01
Rh: 0.0000 0.5000 0.5000  6 O 1.93-2.01
Rh: 0.5000 0.0000 0.5000  6 O 1.93-2.01
Rh: 0.5000 0.5000 0.0000  6 O 1.93-2.01
O: 0.1738 0.5704 0.5704  1 Rh 2.01, 1 Np 2.01
O: 0.1807 0.1807 0.5799  2 Rh 1.93
O: 0.1807 0.5799 0.1807  2 Rh 1.93
O: 0.4201 0.8193 0.8193  2 Rh 1.93
O: 0.4296 0.4296 0.8262  1 Rh 2.01, 1 Np 2.01
O: 0.4296 0.8262 0.4296  1 Rh 2.01, 1 Np 2.01
O: 0.5704 0.1738 0.5704  1 Rh 2.01, 1 Np 2.01
O: 0.5704 0.5704 0.1738  1 Rh 2.01, 1 Np 2.01
O: 0.5799 0.1807 0.1807  2 Rh 1.93
O: 0.8193 0.4201 0.8193  2 Rh 1.93
O: 0.8193 0.8193 0.4201  2 Rh 1.93
O: 0.8262 0.4296 0.4296  1 Rh 2.01, 1 Np 2.01

- ΔE_f (raw): -1.26 eV per atom
- Space group: R-3m
- Fermi-level density of states: 16.60 states/eV/cell

---

This record from Alexandria via LeMat-Bulk describes crystalline Tm2Al5Fe2Ag at its relaxed geometry. The functional is PBE-GGA.

abc: 9.1905 9.1905 4.1320
angles: 90.00 90.00 90.00
With the nearest neighbours (Å) after each atom.
Fractional coordinates of all 20 atoms:
Tm: 0.1858 0.3142 0.0000  3 Fe 2.74-2.79
Tm: 0.3142 0.8142 0.0000  3 Fe 2.74-2.79
Tm: 0.6858 0.1858 0.0000  3 Fe 2.74-2.79
Tm: 0.8142 0.6858 0.0000  3 Fe 2.74-2.79
Al: 0.0000 0.5000 0.5000  4 Fe 2.44, 4 Al 2.67
Al: 0.0625 0.7841 0.5000  4 Al 2.67-2.92, 2 Fe 2.69, 2 Ag 2.92
Al: 0.2159 0.0625 0.5000  4 Al 2.67-2.92, 2 Fe 2.69, 2 Ag 2.92
Al: 0.2841 0.5625 0.5000  4 Al 2.67-2.92, 2 Fe 2.69, 2 Ag 2.92
Al: 0.4375 0.2841 0.5000  4 Al 2.67-2.92, 2 Fe 2.69, 2 Ag 2.92
Al: 0.5000 0.0000 0.5000  4 Fe 2.44, 4 Al 2.67
Al: 0.5625 0.7159 0.5000  4 Al 2.67-2.92, 2 Fe 2.69, 2 Ag 2.92
Al: 0.7159 0.4375 0.5000  4 Al 2.67-2.92, 2 Fe 2.69, 2 Ag 2.92
Al: 0.7841 0.9375 0.5000  4 Al 2.67-2.92, 2 Fe 2.69, 2 Ag 2.92
Al: 0.9375 0.2159 0.5000  4 Al 2.67-2.92, 2 Fe 2.69, 2 Ag 2.92
Fe: 0.0998 0.5998 0.0000  6 Al 2.44-2.69, 1 Fe 2.60
Fe: 0.4002 0.0998 0.0000  6 Al 2.44-2.69, 1 Fe 2.60
Fe: 0.5998 0.9002 0.0000  6 Al 2.44-2.69, 1 Fe 2.60
Fe: 0.9002 0.4002 0.0000  6 Al 2.44-2.69, 1 Fe 2.60
Ag: 0.0000 0.0000 0.0000  8 Al 2.92
Ag: 0.5000 0.5000 0.0000  8 Al 2.92

- Space group: P4/mbm
- DFT formation energy: -289 meV per atom
- Fermi-level density of states: 12.29 states/eV/cell